Arrangement i

ReOs2Ru2 after structural relaxation. Source: the Alexandria database, functional GGA-PBE.

a b c (Å): 6.5223 6.5223 6.5223
angles (deg): 147.64 147.64 46.42
With the nearest neighbours (Å) after each atom.
Atoms (fractional coordinates):
Ru 0.7500 0.2500 0.5000  4 Os 2.56, 4 Ru 2.57
Os 0.5998 0.5998 0.0000  1 Os 2.39, 4 Ru 2.56
Ru 0.2500 0.7500 0.5000  4 Os 2.56, 4 Ru 2.57
Re 0.0000 0.0000 0.0000  8 Os 2.83
Os 0.4002 0.4002 0.0000  1 Os 2.39, 4 Ru 2.56

Calculated values
**Volume**: 15.8 Å³ per atom

---

Arrangement ii

ReOs2Ru2 after structural relaxation. Source: the Alexandria database, functional GGA-PBE.

a b c (Å): 3.8634 4.7183 9.8015
angles (deg): 61.29 78.63 65.83
With the nearest neighbours (Å) after each atom.
Atoms (fractional coordinates):
Ru 0.8496 0.2508 0.5500  6 Os 2.71-2.74, 3 Re 2.72, 3 Ru 2.72-2.73
Os 0.9531 0.7435 0.8503  3 Re 2.70-2.75, 3 Os 2.70-2.71, 6 Ru 2.71-2.74
Os 0.4531 0.2435 0.3503  3 Re 2.70-2.75, 3 Os 2.70-2.71, 6 Ru 2.71-2.74
Re 0.7500 0.7500 0.2500  6 Os 2.70-2.75, 6 Ru 2.72
Ru 0.6504 0.2492 0.9500  6 Os 2.71-2.74, 3 Re 2.72, 3 Ru 2.72-2.73
Ru 0.1504 0.7492 0.4500  6 Os 2.71-2.74, 3 Re 2.72, 3 Ru 2.72-2.73
Re 0.2500 0.2500 0.7500  6 Os 2.70-2.75, 6 Ru 2.72
Os 0.0469 0.2565 0.1497  3 Re 2.70-2.75, 3 Os 2.70-2.71, 6 Ru 2.71-2.74
Ru 0.3496 0.7508 0.0500  6 Os 2.71-2.74, 3 Re 2.72, 3 Ru 2.72-2.73
Os 0.5469 0.7565 0.6497  3 Re 2.70-2.75, 3 Os 2.70-2.71, 6 Ru 2.71-2.74

Calculated values
**Volume**: 14.3 Å³ per atom

---

Which one is the most stable? From the structures above, arrangement ii.